Compound: TlCr2As
Source: Alexandria via LeMat-Bulk
Functional: GGA-PBE
Structure: relaxed

* density: 8.7 g cm⁻³
* E_tot: -0.44535 Ry/atom
* ΔE_f: 506 meV per atom

POSCAR file:
```
TlCr2As
1.0
-1.9373 1.9373 4.8977
1.9373 -1.9373 4.8977
1.9373 1.9373 -4.8977
Tl Cr As
1 2 1
Direct
0.0000 0.0000 0.0000
0.5000 0.5000 0.0000
0.7500 0.2500 0.5000
0.2500 0.7500 0.5000
```